No. 1
Compound: PrNd6Th
Source: Alexandria via LeMat-Bulk
Functional: PBE
Structure: optimized geometry

Calculated values
uncorrected energy	-5.069	eV per atom
DOS(E_F)	11.31	states/eV/cell

a b c (Å): 5.1870 5.1870 10.3841
angles (deg): 90.00 90.00 90.00
Closest atoms and distances in Å follow each position.
Fractional coordinates of all 8 atoms:
Pr 0.0000 0.0000 0.0000  12 Nd 3.67-3.71
Nd 0.0000 0.5000 0.2554  8 Nd 3.63-3.71, 2 Th 3.63, 2 Pr 3.71
Nd 0.0000 0.5000 0.7446  8 Nd 3.63-3.71, 2 Th 3.63, 2 Pr 3.71
Nd 0.5000 0.0000 0.2554  8 Nd 3.63-3.71, 2 Th 3.63, 2 Pr 3.71
Nd 0.5000 0.0000 0.7446  8 Nd 3.63-3.71, 2 Th 3.63, 2 Pr 3.71
Nd 0.5000 0.5000 0.0000  4 Pr 3.67, 8 Nd 3.71
Nd 0.5000 0.5000 0.5000  8 Nd 3.63, 4 Th 3.67
Th 0.0000 0.0000 0.5000  12 Nd 3.63-3.67

No. 2
Compound: Hf2CuW
Source: Alexandria via LeMat-Bulk
Functional: PBE
Structure: optimized geometry

Calculated values
uncorrected energy	-8.710	eV per atom
DOS(E_F)	4.51	states/eV/cell

a b c (Å): 10.1605 10.1605 10.1605
angles (deg): 16.62 16.62 16.62
Closest atoms and distances in Å follow each position.
Fractional coordinates of all 4 atoms:
Hf 0.0914 0.0914 0.0914  1 W 2.75, 3 Cu 2.83, 6 Hf 2.94
Hf 0.9086 0.9086 0.9086  1 W 2.75, 3 Cu 2.83, 6 Hf 2.94
Cu 0.5000 0.5000 0.5000  6 Hf 2.83, 6 Cu 2.94
W 0.0000 0.0000 0.0000  2 Hf 2.75, 6 W 2.94

No. 3
Compound: CuPt2F8
Source: Alexandria via LeMat-Bulk
Functional: PBE
Structure: optimized geometry

Calculated values
uncorrected energy	-3.985	eV per atom
ΔE_f (raw)	-1.153	eV/atom
DOS(E_F)	6.12	states/eV/cell

a b c (Å): 4.0558 5.5884 7.2623
angles (deg): 111.37 96.20 102.05
Closest atoms and distances in Å follow each position.
Fractional coordinates of all 11 atoms:
Cu 0.0000 0.0000 0.0000  4 F 1.88-1.99
Pt 0.3642 0.7679 0.3580  4 F 1.92-2.05
Pt 0.6358 0.2321 0.6420  4 F 1.92-2.05
F 0.1401 0.2231 0.6808  2 Pt 2.05
F 0.2041 0.3702 0.1270  1 Cu 1.88
F 0.3166 0.6514 0.5736  1 Pt 1.92
F 0.3729 0.9012 0.1342  1 Cu 1.99, 1 Pt 2.02
F 0.6271 0.0988 0.8658  1 Cu 1.99, 1 Pt 2.02
F 0.6834 0.3486 0.4264  1 Pt 1.92
F 0.7959 0.6298 0.8730  1 Cu 1.88
F 0.8599 0.7769 0.3192  2 Pt 2.05

No. 4
Compound: CaGdYRu
Source: Alexandria via LeMat-Bulk
Functional: PBE
Structure: optimized geometry

Calculated values
uncorrected energy	-7.887	eV per atom
DOS(E_F)	3.68	states/eV/cell

a b c (Å): 5.1819 5.1819 5.1819
angles (deg): 60.00 60.00 60.00
Closest atoms and distances in Å follow each position.
Fractional coordinates of all 4 atoms:
Ca 0.0000 0.0000 0.0000  4 Gd 3.17, 4 Y 3.17
Gd 0.2500 0.2500 0.2500  4 Ca 3.17, 4 Ru 3.17
Y 0.7500 0.7500 0.7500  4 Ru 3.17, 4 Ca 3.17
Ru 0.5000 0.5000 0.5000  4 Gd 3.17, 4 Y 3.17